Computed, not measured: CdMoI2O after structural relaxation at the PBE with a Hubbard U level of DFT.

Calculated values
The value obtained for the uncorrected energy is -2.951 eV/atom.

abc: 6.0162 6.0162 4.1134
angles: 90.00 90.00 90.00
Site moments in Bohr magnetons follow the coordinates.
Fractional positions:
I 0.0000 0.5000 0.0000  -0.04
I 0.5000 0.0000 0.0000  -0.04
Mo 0.5000 0.5000 0.5000  4.11
O 0.0000 0.0000 0.5000  0.41
Cd 0.0000 0.0000 0.0000  0.02